Record 1
Here is TiCrTe2I after structural relaxation from Alexandria. Energies are from PBE.

a b c (Å): 5.308 5.308 5.709
angles (deg): 90.00 90.00 90.00
Space group P4/mmm (No. 123)
One atom of each set of equivalent atoms:
Ti 0.000 0.000 0.000 [1 per cell]
Cr 0.500 0.500 0.500 [1 per cell]
Te 0.000 0.500 0.000 [2 per cell]
I 0.000 0.000 0.500 [1 per cell]

Results
- offset from the most stable computed form (meV/atom) = 0

=====

Record 2
Here is Sb2PdPt5 after structural relaxation from Alexandria. Energies are from PBE.

a b c (Å): 5.530 13.495 3.729
angles (deg): 90.00 90.00 90.00
Space group Pbam (No. 55)
One atom of each set of equivalent atoms:
Sb 0.249 0.117 0.000 [4 per cell]
Pd 0.000 0.500 0.500 [2 per cell]
Pt 0.000 0.000 0.500 [2 per cell]
Pt 0.047 0.233 0.500 [4 per cell]
Pt 0.228 0.369 0.000 [4 per cell]

Results
- offset from the most stable computed form (meV/atom) = 0

=====

Record 3
Here is Cr2FeTc after structural relaxation from Alexandria. Energies are from PBE.

a b c (Å): 5.831 5.831 5.831
angles (deg): 90.00 90.00 90.00
Space group F-43m (No. 216)
One atom of each set of equivalent atoms:
Cr 0.000 0.000 0.000 [4 per cell]
Cr 0.250 0.250 0.250 [4 per cell]
Fe 0.250 0.250 0.750 [4 per cell]
Tc 0.000 0.000 0.500 [4 per cell]

Results
- formation energy from the elements (meV per atom) = 121
- offset from the most stable computed form (meV/atom) = 22

=====

Record 4
Here is HfTa4W after structural relaxation from Alexandria. Energies are from PBE.

a b c (Å): 10.444 3.280 6.820
angles (deg): 90.00 108.87 90.00
Space group C2/m (No. 12)
One atom of each set of equivalent atoms:
Hf 0.000 0.000 0.000 [2 per cell]
Ta 0.162 0.500 0.348 [4 per cell]
Ta 0.171 0.500 0.821 [4 per cell]
W 0.000 0.000 0.500 [2 per cell]

Results
- formation energy from the elements (meV per atom) = 33

=====

Record 5
Here is CaAgAs2 after structural relaxation from Alexandria. Energies are from PBE.

a b c (Å): 10.545 3.664 4.820
angles (deg): 90.00 111.95 90.00
Space group Cm (No. 8)
One atom of each set of equivalent atoms:
Ca 0.000 0.000 0.000 [2 per cell]
Ag 0.219 0.000 0.656 [2 per cell]
As 0.252 0.500 0.130 [2 per cell]
As 0.443 0.000 0.454 [2 per cell]

Results
- formation energy from the elements (meV per atom) = -352

=====

Record 6
Here is TeIrPt2 after structural relaxation from Alexandria. Energies are from PBE.

a b c (Å): 3.747 4.129 9.055
angles (deg): 90.00 90.00 90.00
Space group Imm2 (No. 44)
One atom of each set of equivalent atoms:
Te 0.000 0.000 0.000 [2 per cell]
Ir 0.000 0.500 0.701 [2 per cell]
Pt 0.000 0.000 0.462 [2 per cell]
Pt 0.000 0.500 0.253 [2 per cell]

Results
- total DFT energy (no corrections) (eV/atom) = -5.789

=====

Record 7
Here is NaNb2H after structural relaxation from Alexandria. Energies are from PBE.

a b c (Å): 6.276 6.276 6.276
angles (deg): 90.00 90.00 90.00
Space group Fm-3m (No. 225)
One atom of each set of equivalent atoms:
Na 0.000 0.000 0.000 [4 per cell]
Nb 0.250 0.250 0.250 [8 per cell]
H 0.000 0.000 0.500 [4 per cell]

Results
- offset from the most stable computed form (meV/atom) = 833

=====

Record 8
Here is Pm2Sm3Mg3 after structural relaxation from Alexandria. Energies are from PBE.

a b c (Å): 3.859 5.524 22.685
angles (deg): 90.00 90.00 90.00
Space group Immm (No. 71)
One atom of each set of equivalent atoms:
Pm 0.000 0.000 0.235 [4 per cell]
Sm 0.000 0.000 0.000 [2 per cell]
Sm 0.000 0.500 0.123 [4 per cell]
Mg 0.000 0.000 0.500 [2 per cell]
Mg 0.000 0.500 0.384 [4 per cell]

Results
- formation energy from the elements (meV per atom) = -63